# ScAlSb2 (PBE, relaxed)
data_ScAlSb2
_chemical_formula_sum 'Sc2 Al2 Sb4'
_space_group_name_H-M_alt 'C 1 2/m 1'
_space_group_IT_number 12
_cell_length_a 6.383
_cell_length_b 7.616
_cell_length_c 3.808
_cell_angle_alpha 90.00
_cell_angle_beta 93.25
_cell_angle_gamma 90.00
loop_
_space_group_symop_operation_xyz
'x,y,z'
'-x,-y,-z'
'-x,y,-z'
'x,-y,z'
'x+1/2,y+1/2,z'
'-x+1/2,-y+1/2,-z'
'-x+1/2,y+1/2,-z'
'x+1/2,-y+1/2,z'
loop_
_atom_site_label
_atom_site_fract_x
_atom_site_fract_y
_atom_site_fract_z
Sc1 0.000 0.000 0.000
Al1 0.000 0.500 0.000
Sb1 0.250 0.250 0.500
# Uncorrected formation energy ... -0.27 eV per atom
# Energy above the most stable polymorph in this dataset ... 0.148 eV per atom